Compound: Bi3PdF
Source: the Alexandria database
Functional: PBE
Structure: optimized geometry

abc: 5.364 5.364 5.364
angles: 90.00 90.00 90.00
Sites, in units of the cell vectors:
Bi 0.000 0.000 0.500
Bi 0.000 0.500 0.000
Bi 0.500 0.000 0.000
Pd 0.000 0.000 0.000
F 0.500 0.500 0.500

## Properties
E_form (uncorrected): 21 kJ/mol of formula units
magnetic moment: 0.00 μB per formula unit
calculated total energy: -18.49 eV/f.u.